Model P:
Entry from Alexandria: crystalline Be2BH2 at its relaxed geometry (PBE).

The structure in POSCAR format:
```
Be2BH2
1.0
-4.3551 0.1289 2.8653
2.7485 -1.3017 4.2361
0.4766 2.9344 0.5925
Be H B
4 4 2
Direct
0.2515 0.7515 0.0000 Be
0.7515 0.7485 0.0000 Be
0.2485 0.2515 0.0000 Be
0.7485 0.2485 0.0000 Be
0.4465 0.0535 0.5000 H
0.5535 0.9465 0.5000 H
0.9465 0.4465 0.5000 H
0.0535 0.5535 0.5000 H
0.5000 0.5000 0.0000 B
0.0000 0.0000 0.0000 B
```



Model Q:
Entry from Alexandria: crystalline Be2BH2 at its relaxed geometry (PBE).

The structure in POSCAR format:
```
Be2BH2
1.0
5.0595 0.0000 0.0000
0.0000 5.0595 0.0000
0.0000 0.0000 2.3114
Be H B
4 4 2
Direct
0.7759 0.2759 0.5000 Be
0.2759 0.2241 0.5000 Be
0.7241 0.7759 0.5000 Be
0.2241 0.7241 0.5000 Be
0.9421 0.5579 0.0000 H
0.4421 0.9421 0.0000 H
0.0579 0.4421 0.0000 H
0.5579 0.0579 0.0000 H
0.5000 0.5000 0.0000 B
0.0000 0.0000 0.0000 B
```



Most stable structure: model P



Model P:
Entry from Alexandria: crystalline Be2BH2 at its relaxed geometry (PBE).

The structure in POSCAR format:
```
Be2BH2
1.0
3.6866 0.0000 0.0000
0.0000 3.6866 0.0000
1.8433 1.8433 2.1425
H Be B
2 2 1
Direct
0.3046 0.3046 0.3909 H
0.6954 0.6954 0.6091 H
0.7500 0.2500 0.5000 Be
0.2500 0.7500 0.5000 Be
0.0000 0.0000 0.0000 B
```



Model Q:
Entry from Alexandria: crystalline Be2BH2 at its relaxed geometry (PBE).

The structure in POSCAR format:
```
Be2BH2
1.0
-0.5310 -1.1673 1.9850
0.6971 -2.0230 -1.0032
4.7044 -0.8369 2.1731
Be H B
2 2 1
Direct
0.3721 0.3721 0.2559 Be
0.6279 0.6279 0.7441 Be
0.2500 0.7500 0.5000 H
0.7500 0.2500 0.5000 H
0.0000 0.0000 0.0000 B
```



Most stable structure: model P